{
  "formula": "Np2TaH6",
  "functional": "PBE-GGA",
  "state": "optimized geometry",
  "lattice": [[-2.550, 4.329, 0.757], [-4.766, 0.471, -1.698], [-3.869, 0.127, 3.292]],
  "species": ["H", "H", "H", "H", "H", "H", "Np", "Np", "Ta"],
  "fractional_positions": [[0.767, 0.233, 0.767], [0.233, 0.767, 0.233], [0.767, 0.767, 0.234], [0.767, 0.233, 0.233], [0.233, 0.233, 0.766], [0.233, 0.767, 0.767], [0.250, 0.250, 0.250], [0.750, 0.750, 0.750], [0.500, 0.500, 0.500]],
  "n_ef_per_ev_cell": 5.535,
  "m_tot_mub_per_atom": 0.821,
  "e_tot_ev_per_atom": -6.49
}



{
  "formula": "KSiCl4",
  "functional": "PBE-GGA",
  "state": "optimized geometry",
  "lattice": [[0.000, 4.292, 4.292], [4.292, 0.000, 4.292], [4.292, 4.292, 0.000]],
  "species": ["Cl", "Cl", "Cl", "Cl", "Si", "K"],
  "fractional_positions": [[0.375, 0.876, 0.375], [0.375, 0.375, 0.375], [0.375, 0.375, 0.876], [0.876, 0.375, 0.375], [0.000, 0.000, 0.000], [0.750, 0.750, 0.750]],
  "n_ef_per_ev_cell": 5.982,
  "m_tot_mub_per_atom": 0.293,
  "e_tot_ev_per_atom": -2.15,
  "relative_energy_ev_per_atom": 1.290
}